Below is a relaxed structure of SmEuAlIn, with properties calculated at the GGA-PBE level.

Structure (CIF):
```
data_SmEuAlIn
_chemical_formula_sum 'Sm1 Eu1 Al1 In1'
_space_group_name_H-M_alt 'P 1'
_space_group_IT_number 1
_cell_length_a 5.390
_cell_length_b 5.390
_cell_length_c 5.390
_cell_angle_alpha 60.00
_cell_angle_beta 60.00
_cell_angle_gamma 60.00
loop_
_space_group_symop_operation_xyz
'x,y,z'
loop_
_atom_site_label
_atom_site_type_symbol
_atom_site_fract_x
_atom_site_fract_y
_atom_site_fract_z
Eu1 Eu 0.000 0.000 0.000
Al1 Al 0.750 0.750 0.750
Sm1 Sm 0.500 0.500 0.500
In1 In 0.250 0.250 0.250
```

The calculation puts the final energy at -22.87 eV/cell. Its formation energy is -0.348 eV/atom. Its space-group type is F-43m, No. 216.

Below is a relaxed structure of SrEuAlIn, with properties calculated at the GGA-PBE level.

Structure (CIF):
```
data_SrEuAlIn
_chemical_formula_sum 'Sr1 Eu1 Al1 In1'
_space_group_name_H-M_alt 'P 1'
_space_group_IT_number 1
_cell_length_a 5.577
_cell_length_b 5.577
_cell_length_c 5.577
_cell_angle_alpha 60.00
_cell_angle_beta 60.00
_cell_angle_gamma 60.00
loop_
_space_group_symop_operation_xyz
'x,y,z'
loop_
_atom_site_label
_atom_site_type_symbol
_atom_site_fract_x
_atom_site_fract_y
_atom_site_fract_z
Eu1 Eu 0.250 0.250 0.250
Sr1 Sr 0.750 0.750 0.750
Al1 Al 0.500 0.500 0.500
In1 In 0.000 0.000 0.000
```

The calculation puts the final energy at -19.58 eV/cell. Its formation energy is -0.286 eV/atom. Its space-group type is F-43m, No. 216.

Below is a relaxed structure of TbEuAlIn, with properties calculated at the GGA-PBE level.

Structure (CIF):
```
data_TbEuAlIn
_chemical_formula_sum 'Tb1 Eu1 Al1 In1'
_space_group_name_H-M_alt 'P 1'
_space_group_IT_number 1
_cell_length_a 5.343
_cell_length_b 5.343
_cell_length_c 5.343
_cell_angle_alpha 60.00
_cell_angle_beta 60.00
_cell_angle_gamma 60.00
loop_
_space_group_symop_operation_xyz
'x,y,z'
loop_
_atom_site_label
_atom_site_type_symbol
_atom_site_fract_x
_atom_site_fract_y
_atom_site_fract_z
Eu1 Eu 0.000 0.000 0.000
Tb1 Tb 0.500 0.500 0.500
Al1 Al 0.750 0.750 0.750
In1 In 0.250 0.250 0.250
```

The calculation puts the final energy at -22.78 eV/cell. Its formation energy is -0.348 eV/atom. Its space-group type is F-43m, No. 216.

Below is a relaxed structure of EuThAlIn, with properties calculated at the GGA-PBE level.

Structure (CIF):
```
data_EuThAlIn
_chemical_formula_sum 'Eu1 Th1 Al1 In1'
_space_group_name_H-M_alt 'P 1'
_space_group_IT_number 1
_cell_length_a 5.398
_cell_length_b 5.398
_cell_length_c 5.398
_cell_angle_alpha 60.00
_cell_angle_beta 60.00
_cell_angle_gamma 60.00
loop_
_space_group_symop_operation_xyz
'x,y,z'
loop_
_atom_site_label
_atom_site_type_symbol
_atom_site_fract_x
_atom_site_fract_y
_atom_site_fract_z
Eu1 Eu 0.000 0.000 0.000
Al1 Al 0.750 0.750 0.750
Th1 Th 0.500 0.500 0.500
In1 In 0.250 0.250 0.250
```

The calculation puts the final energy at -25.09 eV/cell. Its formation energy is -0.229 eV/atom. Its space-group type is F-43m, No. 216.

Below is a relaxed structure of EuAlTlIn, with properties calculated at the GGA-PBE level.

Structure (CIF):
```
data_EuAlTlIn
_chemical_formula_sum 'Eu1 Al1 Tl1 In1'
_space_group_name_H-M_alt 'P 1'
_space_group_IT_number 1
_cell_length_a 5.307
_cell_length_b 5.307
_cell_length_c 5.307
_cell_angle_alpha 60.00
_cell_angle_beta 60.00
_cell_angle_gamma 60.00
loop_
_space_group_symop_operation_xyz
'x,y,z'
loop_
_atom_site_label
_atom_site_type_symbol
_atom_site_fract_x
_atom_site_fract_y
_atom_site_fract_z
Eu1 Eu 0.500 0.500 0.500
Tl1 Tl 0.750 0.750 0.750
Al1 Al 0.000 0.000 0.000
In1 In 0.250 0.250 0.250
```

The calculation puts the final energy at -19.63 eV/cell. Its formation energy is -0.128 eV/atom. Its space-group type is F-43m, No. 216.

Below is a relaxed structure of EuTmAlIn, with properties calculated at the GGA-PBE level.

Structure (CIF):
```
data_EuTmAlIn
_chemical_formula_sum 'Eu1 Tm1 Al1 In1'
_space_group_name_H-M_alt 'P 1'
_space_group_IT_number 1
_cell_length_a 5.297
_cell_length_b 5.297
_cell_length_c 5.297
_cell_angle_alpha 60.00
_cell_angle_beta 60.00
_cell_angle_gamma 60.00
loop_
_space_group_symop_operation_xyz
'x,y,z'
loop_
_atom_site_label
_atom_site_type_symbol
_atom_site_fract_x
_atom_site_fract_y
_atom_site_fract_z
Eu1 Eu 0.000 0.000 0.000
Tm1 Tm 0.500 0.500 0.500
Al1 Al 0.750 0.750 0.750
In1 In 0.250 0.250 0.250
```

The calculation puts the final energy at -22.57 eV/cell. Its formation energy is -0.336 eV/atom. Its space-group type is F-43m, No. 216.